Run 1
## MnCO2 (PBE+U)

Data for crystalline MnCO2 at its relaxed geometry.

a b c (Å): 4.394 4.394 9.779
angles (deg): 90.00 90.00 90.00
Space group I-42d (No. 122)
Unique sites:
Mn 0.000 0.000 0.000 [4 per cell]
C 0.000 0.000 0.500 [4 per cell]
O 0.202 0.250 0.625 [8 per cell]

Output
Crystal system   tetragonal

Run 2
## MnCO2 (PBE+U)

Data for crystalline MnCO2 at its relaxed geometry.

a b c (Å): 2.7227 2.7227 17.4191
angles (deg): 90.00 90.00 120.00
Space group R-3m (No. 166, hexagonal axes)
Unique sites:
Mn 0.0000 0.0000 0.0000 [3 per cell]
C 0.0000 0.0000 0.5000 [3 per cell]
O 0.0000 0.0000 0.1114 [6 per cell]

Output
Crystal system   trigonal

Top of the stability list: run 1, leading by 0.523 eV/atom.